ThSc2Pa after structural relaxation, computed with PBE.

Cell lengths 4.697, 4.697, 4.788 Å; angles 90.00, 90.00, 90.00 degrees
Space group P4/mmm (No. 123)
Inequivalent atoms, fractional coordinates:
Th 0.000 0.000 0.000
Sc 0.000 0.500 0.500
Pa 0.500 0.500 0.000

The raw total energy comes out at -29.00 eV/cell. The calculation puts the energy relative to the lowest polymorph listed for this composition at 0.0283 eV/atom. The value obtained for the formation energy from the elements is 0.145 eV/atom.